(P)
Zr2HgBi after structural relaxation. Source: Alexandria, functional PBE-GGA.

Unit cell a=3.851 b=3.851 c=8.283 alpha=76.56 beta=76.56 gamma=60.00
Each line ends with the local moment (μB).
Element x y z (fractional)
Zr1 0.250 0.250 0.250  -0.27
Hg1 0.498 0.498 0.505  -0.02
Zr2 0.084 0.084 0.749  -0.03
Bi1 0.668 0.668 0.997  0.01

- symmetry = No. 160

***

(Q)
Zr2HgBi after structural relaxation. Source: Alexandria, functional PBE-GGA.

Unit cell a=5.084 b=5.084 c=5.084 alpha=60.00 beta=60.00 gamma=60.00
Element x y z (fractional)
Zr1 0.750 0.750 0.750
Bi1 0.500 0.500 0.500
Zr2 0.250 0.250 0.250
Hg1 0.000 0.000 0.000

- symmetry = No. 225

***

Energetically preferred structure: (Q) | next structure: +14.4 kJ/mol of atoms